A relaxed structure of HfMgSc14, computed with GGA-PBE.

Geometry as CIF:
```
data_HfMgSc14
_symmetry_space_group_name_H-M 'C m m m'
_symmetry_Int_Tables_number 65
_symmetry_space_group_name_Hall '-C 2 2'
_cell_length_a 9.194
_cell_length_b 9.201
_cell_length_c 9.154
_cell_angle_alpha 90.00
_cell_angle_beta 90.00
_cell_angle_gamma 90.00
loop_
_atom_site_label
_atom_site_fract_x
_atom_site_fract_y
_atom_site_fract_z
Hf1 0.000 0.000 0.000
Mg1 0.000 0.500 0.000
Sc1 0.000 0.000 0.500
Sc2 0.000 0.244 0.248
Sc3 0.000 0.500 0.500
Sc4 0.245 0.000 0.247
Sc5 0.250 0.250 0.000
Sc6 0.250 0.250 0.500
```

Results
- DOS at the Fermi energy: 63.16 states/eV per cell
- E_tot: -198.779 eV/cell
- ΔE_f: 50 meV/atom